1.
Material: Dy2Y5Tm6
Method: DFT, PBE
State: optimized geometry

Output
* space group: Pbam (55)
* energy: -5.1545 eV per atom
* ΔE_f: 0.10 eV/atom
* mass density: 7.183 Mg/m³
* magnetic moment: 0.0 μB/f.u.

a b c (Å): 3.555 11.527 20.117
angles (deg): 90.00 90.00 90.00
Sites, in units of the cell vectors:
Dy 0.000 0.332 0.290
Dy 0.000 0.668 0.710
Dy 0.000 0.832 0.210
Dy 0.000 0.168 0.790
Y 0.500 0.302 0.450
Y 0.500 0.698 0.550
Y 0.500 0.802 0.050
Y 0.500 0.198 0.950
Y 0.500 0.588 0.273
Y 0.500 0.412 0.727
Y 0.500 0.088 0.227
Y 0.500 0.912 0.773
Y 0.500 0.500 0.000
Y 0.500 0.000 0.500
Tm 0.000 0.082 0.368
Tm 0.000 0.918 0.632
Tm 0.000 0.582 0.132
Tm 0.000 0.418 0.868
Tm 0.500 0.327 0.136
Tm 0.500 0.673 0.864
Tm 0.500 0.827 0.364
Tm 0.500 0.173 0.636
Tm 0.000 0.561 0.419
Tm 0.000 0.439 0.581
Tm 0.000 0.061 0.081
Tm 0.000 0.939 0.919

2.
Material: SrNpCuSe4
Method: DFT, PBE
State: optimized geometry

Output
* space group: P2_1/m (11)
* formation energy (no corrections): -1.089 eV/atom
* energy: -5.7547 eV per atom
* mass density: 6.812 Mg/m³
* magnetic moment: 3.2 μB/f.u.

a b c (Å): 7.110 5.808 8.710
angles (deg): 90.00 107.41 90.00
Site moments in Bohr magnetons follow the coordinates.
Sites, in units of the cell vectors:
Sr 0.737 0.750 0.935  -0.01
Sr 0.263 0.250 0.065  -0.01
Np 0.732 0.750 0.439  3.58
Np 0.268 0.250 0.561  3.58
Cu 0.256 0.750 0.315  -0.08
Cu 0.744 0.250 0.685  -0.08
Se 0.020 0.510 0.729  -0.06
Se 0.980 0.010 0.271  -0.06
Se 0.980 0.490 0.271  -0.06
Se 0.020 0.990 0.729  -0.06
Se 0.442 0.750 0.131  -0.07
Se 0.558 0.250 0.869  -0.07
Se 0.424 0.750 0.595  -0.12
Se 0.576 0.250 0.405  -0.12

3.
Material: Pa3Ge4Rh7
Method: DFT, PBE
State: optimized geometry

Output
* space group: C2/m (12)
* energy: -7.8483 eV per atom
* ΔE_f: -0.82 eV/atom
* mass density: 11.698 Mg/m³
* magnetic moment: 0.0 μB/f.u.

a b c (Å): 4.039 8.051 8.239
angles (deg): 71.50 75.81 75.47
Sites, in units of the cell vectors:
Pa 0.328 0.178 0.166
Pa 0.672 0.822 0.834
Pa 0.000 0.500 0.500
Ge 0.658 0.449 0.235
Ge 0.342 0.551 0.765
Ge 0.889 0.882 0.339
Ge 0.111 0.118 0.661
Rh 0.301 0.851 0.547
Rh 0.494 0.221 0.791
Rh 0.834 0.396 0.935
Rh 0.699 0.149 0.453
Rh 0.166 0.604 0.065
Rh 0.000 0.000 0.000
Rh 0.506 0.779 0.209

4.
Material: LaZr2AgAu
Method: DFT, PBE
State: optimized geometry

Output
* space group: P4/mmm (123)
* energy: -4.3628 eV per atom
* ΔE_f: 1.27 eV/atom
* mass density: 7.214 Mg/m³
* magnetic moment: 0.0 μB/f.u.

a b c (Å): 5.177 5.378 5.177
angles (deg): 90.00 90.00 90.00
Sites, in units of the cell vectors:
Au 0.000 0.500 0.000
Zr 0.000 0.000 0.500
Zr 0.500 0.000 0.000
Ag 0.500 0.500 0.500
La 0.000 0.000 0.000

5.
Material: SrTcRh
Method: DFT, PBE
State: optimized geometry

Output
* space group: F-43m (216)
* energy: -5.6081 eV per atom
* ΔE_f: 0.86 eV/atom
* mass density: 6.991 Mg/m³
* magnetic moment: 1.2 μB/f.u.

a b c (Å): 4.593 4.593 4.593
angles (deg): 60.00 60.00 60.00
Site moments in Bohr magnetons follow the coordinates.
Sites, in units of the cell vectors:
Sr 0.750 0.750 0.750  0.00
Rh 0.500 0.500 0.500  0.20
Tc 0.250 0.250 0.250  0.83

6.
Material: ZnGa5Pd
Method: DFT, PBE
State: optimized geometry

Output
* space group: Imm2 (44)
* energy: -2.9255 eV per atom
* ΔE_f: 0.16 eV/atom
* mass density: 5.373 Mg/m³
* magnetic moment: 0.0 μB/f.u.

a b c (Å): 4.797 7.212 6.354
angles (deg): 124.58 112.18 90.00
Sites, in units of the cell vectors:
Zn 0.641 0.500 0.000
Ga 0.316 0.233 0.467
Ga 0.127 0.500 0.000
Ga 0.849 0.767 0.533
Ga 0.380 0.179 0.000
Ga 0.380 0.821 0.000
Pd 0.837 0.000 0.000

7.
Material: Na2RePd
Method: DFT, PBE
State: optimized geometry

Output
* space group: I-42d (122)
* energy: -3.8052 eV per atom
* ΔE_f: 1.26 eV/atom
* mass density: 6.521 Mg/m³
* magnetic moment: 3.5 μB/f.u.

a b c (Å): 8.203 8.203 6.342
angles (deg): 49.70 49.70 90.00
Site moments in Bohr magnetons follow the coordinates.
Sites, in units of the cell vectors:
Re 0.000 0.000 0.000  2.79
Re 0.750 0.250 0.500  2.79
Pd 0.500 0.500 0.000  0.28
Pd 0.250 0.750 0.500  0.28
Na 0.594 0.125 0.250  -0.01
Na 0.156 0.625 0.250  -0.01
Na 0.375 0.406 0.750  -0.01
Na 0.875 0.844 0.750  -0.01

8.
Material: CeHoSnHg
Method: DFT, PBE
State: optimized geometry

Output
* space group: P4mm (99)
* energy: -4.2008 eV per atom
* ΔE_f: -0.50 eV/atom
* mass density: 9.811 Mg/m³
* magnetic moment: 1.1 μB/f.u.

a b c (Å): 3.495 3.495 8.653
angles (deg): 90.00 90.00 90.00
Site moments in Bohr magnetons follow the coordinates.
Sites, in units of the cell vectors:
Ce 0.000 0.000 0.360  0.83
Ho 0.000 0.000 0.854  0.01
Sn 0.500 0.500 0.098  -0.01
Hg 0.500 0.500 0.616  -0.01

9.
Material: Sr3Al4Ga2
Method: DFT, PBE
State: optimized geometry

Output
* space group: C2/m (12)
* energy: -3.2021 eV per atom
* ΔE_f: -0.31 eV/atom
* mass density: 3.642 Mg/m³
* magnetic moment: 0.0 μB/f.u.

a b c (Å): 4.655 6.156 9.066
angles (deg): 103.62 90.00 112.22
Sites, in units of the cell vectors:
Sr 0.634 0.267 0.685
Sr 0.000 0.000 0.000
Sr 0.366 0.733 0.315
Al 0.725 0.451 0.062
Al 0.275 0.549 0.938
Al 0.899 0.798 0.571
Al 0.101 0.202 0.429
Ga 0.665 0.331 0.325
Ga 0.335 0.669 0.675

10.
Material: AcRh2Pb4
Method: DFT, PBE
State: optimized geometry

Output
* space group: Cmmm (65)
* energy: -4.9273 eV per atom
* ΔE_f: -0.12 eV/atom
* mass density: 11.293 Mg/m³
* magnetic moment: 0.0 μB/f.u.

a b c (Å): 5.012 4.987 7.830
angles (deg): 108.57 90.00 90.00
Sites, in units of the cell vectors:
Ac 0.000 0.000 0.000
Rh 0.500 0.590 0.179
Rh 0.500 0.410 0.821
Pb 0.500 0.826 0.652
Pb 0.000 0.673 0.345
Pb 0.500 0.174 0.348
Pb 0.000 0.327 0.655

11.
Material: CsRbBe2I6
Method: DFT, PBE
State: optimized geometry

Output
* space group: C2/c (15)
* formation energy (no corrections): -0.932 eV/atom
* energy: -2.7895 eV per atom
* mass density: 3.139 Mg/m³
* magnetic moment: 0.0 μB/f.u.

a b c (Å): 10.126 10.126 11.213
angles (deg): 104.47 104.47 97.26
Sites, in units of the cell vectors:
Cs 0.156 0.844 0.250
Cs 0.844 0.156 0.750
Rb 0.592 0.408 0.250
Rb 0.408 0.592 0.750
Be 0.348 0.139 0.702
Be 0.861 0.652 0.798
Be 0.652 0.861 0.298
Be 0.139 0.348 0.202
I 0.915 0.378 0.126
I 0.622 0.085 0.374
I 0.085 0.622 0.874
I 0.378 0.915 0.626
I 0.216 0.162 0.094
I 0.838 0.784 0.406
I 0.784 0.838 0.906
I 0.162 0.216 0.594
I 0.293 0.519 0.376
I 0.481 0.707 0.124
I 0.707 0.481 0.624
I 0.519 0.293 0.876

12.
Material: Rb3Np2S7
Method: DFT, PBE
State: optimized geometry

Output
* space group: Cmmm (65)
* formation energy (no corrections): -1.156 eV/atom
* energy: -5.9627 eV per atom
* mass density: 4.423 Mg/m³
* magnetic moment: 3.0 μB/f.u.

a b c (Å): 5.166 5.207 13.580
angles (deg): 101.05 90.00 90.00
Site moments in Bohr magnetons follow the coordinates.
Sites, in units of the cell vectors:
Rb 0.500 0.500 0.000  0.00
Rb 0.500 0.685 0.371  0.00
Rb 0.500 0.315 0.629  0.00
Np 0.000 0.902 0.805  2.21
Np 0.000 0.098 0.195  2.21
S 0.000 0.404 0.808  -0.14
S 0.000 0.810 0.621  -0.16
S 0.000 0.000 0.000  -0.14
S 0.000 0.596 0.192  -0.14
S 0.500 0.096 0.193  -0.14
S 0.500 0.904 0.807  -0.14
S 0.000 0.190 0.379  -0.16

13.
Material: La12NdTl3
Method: DFT, PBE
State: optimized geometry

Output
* space group: P4/mmm (123)
* energy: -4.6091 eV per atom
* ΔE_f: -0.17 eV/atom
* mass density: 7.506 Mg/m³
* magnetic moment: 0.0 μB/f.u.

a b c (Å): 5.099 5.099 20.629
angles (deg): 90.00 90.00 90.00
Sites, in units of the cell vectors:
La 0.500 0.500 0.000
La 0.500 0.500 0.256
La 0.500 0.500 0.500
La 0.500 0.500 0.744
La 0.500 0.000 0.130
La 0.500 0.000 0.377
La 0.500 0.000 0.623
La 0.500 0.000 0.870
La 0.000 0.500 0.130
La 0.000 0.500 0.377
La 0.000 0.500 0.623
La 0.000 0.500 0.870
Nd 0.000 0.000 0.000
Tl 0.000 0.000 0.255
Tl 0.000 0.000 0.500
Tl 0.000 0.000 0.745

14.
Material: SrTbZn2Pt2
Method: DFT, PBE
State: optimized geometry

Output
* space group: P-3m1 (164)
* energy: -4.3099 eV per atom
* ΔE_f: -0.82 eV/atom
* mass density: 9.512 Mg/m³
* magnetic moment: 0.0 μB/f.u.

a b c (Å): 4.430 4.430 7.885
angles (deg): 90.00 90.00 120.00
Sites, in units of the cell vectors:
Sr 0.000 0.000 0.000
Tb 0.000 0.000 0.500
Zn 0.667 0.333 0.279
Zn 0.333 0.667 0.721
Pt 0.667 0.333 0.710
Pt 0.333 0.667 0.290

15.
Material: Mg2ReRh
Method: DFT, PBE
State: optimized geometry

Output
* space group: Imm2 (44)
* energy: -5.6736 eV per atom
* ΔE_f: 0.07 eV/atom
* mass density: 8.598 Mg/m³
* magnetic moment: 0.0 μB/f.u.

a b c (Å): 5.583 5.583 5.583
angles (deg): 150.14 130.68 58.73
Sites, in units of the cell vectors:
Mg 0.023 0.023 0.000
Mg 0.738 0.238 0.500
Re 0.480 0.480 0.000
Rh 0.259 0.759 0.500

16.
Material: Mg5HgBi4
Method: DFT, PBE
State: optimized geometry

Output
* space group: R-3m (166)
* energy: -2.4829 eV per atom
* ΔE_f: -0.10 eV/atom
* mass density: 7.074 Mg/m³
* magnetic moment: 0.0 μB/f.u.

a b c (Å): 4.730 4.730 14.296
angles (deg): 80.48 80.48 60.00
Sites, in units of the cell vectors:
Mg 0.403 0.403 0.792
Mg 0.000 0.000 0.000
Mg 0.597 0.597 0.208
Mg 0.807 0.807 0.578
Mg 0.193 0.193 0.422
Hg 0.500 0.500 0.500
Bi 0.891 0.891 0.326
Bi 0.297 0.297 0.108
Bi 0.703 0.703 0.892
Bi 0.109 0.109 0.674

17.
Material: SrTl2CoRh
Method: DFT, PBE
State: optimized geometry

Output
* space group: P4/mmm (123)
* energy: -3.6900 eV per atom
* ΔE_f: 0.48 eV/atom
* mass density: 7.120 Mg/m³
* magnetic moment: 1.9 μB/f.u.

a b c (Å): 5.231 5.609 5.231
angles (deg): 90.00 90.00 90.00
Site moments in Bohr magnetons follow the coordinates.
Sites, in units of the cell vectors:
Sr 0.000 0.500 0.000  -0.02
Tl 0.000 0.000 0.500  0.00
Tl 0.500 0.000 0.000  0.00
Rh 0.000 0.000 0.000  0.00
Co 0.500 0.500 0.500  2.07

18.
Material: BeAlSe2
Method: DFT, PBE
State: optimized geometry

Output
* space group: Fm-3m (225)
* formation energy (no corrections): 0.248 eV/atom
* energy: -3.3617 eV per atom
* mass density: 4.787 Mg/m³
* magnetic moment: 0.0 μB/f.u.

a b c (Å): 4.565 4.565 4.565
angles (deg): 60.00 60.00 60.00
Sites, in units of the cell vectors:
Be 0.000 0.000 0.000
Al 0.500 0.500 0.500
Se 0.250 0.250 0.250
Se 0.750 0.750 0.750

19.
Material: SiTeBr2
Method: DFT, PBE
State: optimized geometry

Output
* space group: C2/m (12)
* formation energy (no corrections): 0.049 eV/atom
* energy: -2.9282 eV per atom
* mass density: 3.818 Mg/m³
* magnetic moment: 0.0 μB/f.u.

a b c (Å): 8.183 8.183 4.405
angles (deg): 88.79 88.79 27.73
Sites, in units of the cell vectors:
Br 0.103 0.103 0.937
Br 0.397 0.397 0.563
Si 0.750 0.750 0.750
Te 0.250 0.250 0.250

20.
Material: AcCeGaRu
Method: DFT, PBE
State: optimized geometry

Output
* space group: F-43m (216)
* energy: -5.7733 eV per atom
* ΔE_f: -0.19 eV/atom
* mass density: 9.012 Mg/m³
* magnetic moment: 0.4 μB/f.u.

a b c (Å): 5.195 5.195 5.195
angles (deg): 60.00 60.00 60.00
Site moments in Bohr magnetons follow the coordinates.
Sites, in units of the cell vectors:
Ru 0.750 0.750 0.750  -0.02
Ac 0.000 0.000 0.000  0.00
Ga 0.250 0.250 0.250  0.01
Ce 0.500 0.500 0.500  0.37

21.
Material: CeHoIn2
Method: DFT, PBE
State: optimized geometry

Output
* space group: Fm-3m (225)
* energy: -4.3946 eV per atom
* ΔE_f: -0.40 eV/atom
* mass density: 8.055 Mg/m³
* magnetic moment: 0.8 μB/f.u.

a b c (Å): 5.383 5.381 5.381
angles (deg): 60.02 59.99 59.99
Site moments in Bohr magnetons follow the coordinates.
Sites, in units of the cell vectors:
Ho 0.750 0.750 0.750  -0.03
Ce 0.250 0.250 0.250  0.75
In 0.000 0.000 0.000  0.01
In 0.500 0.500 0.500  0.01

22.
Material: TaSiP2
Method: DFT, PBE
State: optimized geometry

Output
* space group: C2/m (12)
* formation energy (no corrections): -0.031 eV/atom
* energy: -7.0545 eV per atom
* mass density: 7.130 Mg/m³
* magnetic moment: 0.0 μB/f.u.

a b c (Å): 4.565 4.565 4.635
angles (deg): 88.77 88.77 40.81
Sites, in units of the cell vectors:
P 0.966 0.966 0.050
P 0.534 0.534 0.450
Si 0.750 0.750 0.750
Ta 0.250 0.250 0.250

23.
Material: Li8AgBi6
Method: DFT, PBE
State: optimized geometry

Output
* space group: R-3 (148)
* energy: -3.0054 eV per atom
* ΔE_f: -0.24 eV/atom
* mass density: 6.764 Mg/m³
* magnetic moment: 0.0 μB/f.u.

a b c (Å): 8.590 8.590 7.365
angles (deg): 54.33 54.33 60.00
Sites, in units of the cell vectors:
Li 0.626 0.146 0.279
Li 0.854 0.051 0.721
Li 0.051 0.374 0.721
Li 0.712 0.712 0.864
Li 0.288 0.288 0.136
Li 0.949 0.626 0.279
Li 0.146 0.949 0.279
Li 0.374 0.854 0.721
Ag 0.000 0.000 0.000
Bi 0.433 0.145 0.758
Bi 0.855 0.335 0.242
Bi 0.335 0.567 0.242
Bi 0.665 0.433 0.758
Bi 0.145 0.665 0.758
Bi 0.567 0.855 0.242